Record 1
Ac3TaO7 | PBE-GGA | relaxed

Geometry as extended XYZ:
```
22
Lattice="-1.522 6.792 -0.702 -0.267 -3.378 -6.120 -7.741 -1.608 1.225" Properties=species:S:1:pos:R:3 pbc="T T T"
O -7.209 4.348 -0.659
O -4.047 -0.904 -2.259
O -3.249 4.982 -0.930
O -5.483 2.710 -3.337
O -4.353 1.572 -0.940
O -8.566 -0.471 -4.121
O -0.658 -0.200 -2.796
O -0.964 2.276 -1.476
O -8.872 2.006 -2.801
O -6.600 0.310 -2.111
O -5.177 0.233 -4.657
O -2.930 1.495 -3.486
O -6.281 -3.176 -4.667
O -2.321 -2.543 -4.938
Ac -3.472 4.286 -3.248
Ac -2.904 -0.308 -5.695
Ac 0.000 0.000 0.000
Ac -6.625 2.114 0.098
Ac -6.058 -2.480 -2.349
Ac -3.871 -0.804 0.612
Ta -4.765 0.903 -2.798
Ta -0.894 1.707 -3.411
```

The calculation puts the total energy at -8.6737 eV per atom. For the total magnetization, the calculation gives 0.0 μB per cell. The mass density comes out at 8.90 Mg/m³. The density of states at the Fermi level is 0.000 states/eV/f.u. For the formation energy without anion corrections, the calculation gives -3.321 eV/atom.

Record 2
AcTa2O6 | PBE-GGA | relaxed

Geometry as extended XYZ:
```
9
Lattice="-3.366 0.414 2.319 -3.776 -3.493 -1.218 0.153 -5.453 4.835" Properties=species:S:1:pos:R:3 pbc="T T T"
O -6.504 -3.501 2.103
O -0.486 -5.031 3.833
O -4.853 -7.147 5.151
O -3.396 -2.779 2.846
O -3.594 -5.753 3.090
O -2.137 -1.385 0.785
Ta -3.773 -1.104 2.000
Ta -3.217 -7.428 3.936
Ac -1.812 -4.473 1.808
```

The calculation puts the total energy at -9.3949 eV per atom. For the total magnetization, the calculation gives 0.0 μB per cell. The mass density comes out at 8.38 Mg/m³. The density of states at the Fermi level is 0.566 states/eV/f.u. For the formation energy without anion corrections, the calculation gives -2.999 eV/atom.

Record 3
AcTaO4 | PBE-GGA | relaxed

Geometry as extended XYZ:
```
12
Lattice="5.135 0.000 -2.112 -0.869 5.061 -2.112 -0.027 -0.032 7.233" Properties=species:S:1:pos:R:3 pbc="T T T"
O 0.636 1.321 5.097
O 2.089 4.957 1.528
O 2.873 2.841 3.436
O 1.502 4.179 -1.454
O 1.250 2.131 0.847
O -0.715 4.594 0.453
O 3.467 1.716 -1.060
O -0.148 3.437 3.190
Ac 0.000 0.000 0.000
Ac 3.620 1.249 1.505
Ta 2.133 2.530 -2.112
Ta 0.619 3.780 1.505
```

The calculation puts the total energy at -9.2001 eV per atom. The calculation puts the energy relative to the lowest polymorph listed for this composition at 0.00 kcal/mol of atoms. For the total magnetization, the calculation gives 0.0 μB per cell. The mass density comes out at 8.37 Mg/m³. The density of states at the Fermi level is 0.000 states/eV/f.u. For the formation energy without anion corrections, the calculation gives -3.234 eV/atom.

Record 4
Ac4Ta6O19 | PBE-GGA | relaxed

Geometry as extended XYZ:
```
29
Lattice="7.634 0.000 -2.699 -3.817 6.611 -2.699 0.000 0.000 8.097" Properties=species:S:1:pos:R:3 pbc="T T T"
Ta 0.764 3.305 4.588
Ta 0.572 5.619 -0.810
Ta 5.153 2.314 0.810
Ta -1.336 4.297 1.889
Ta 3.244 0.992 3.508
Ta 3.053 3.305 -1.889
O 1.296 1.696 3.537
O 0.465 4.197 2.742
O -0.050 4.915 -2.656
O 1.282 2.220 -1.813
O -0.415 4.110 0.043
O 0.000 0.000 0.000
O 3.608 1.971 -0.405
O 5.517 0.275 0.838
O -1.188 6.336 2.223
O -1.282 2.220 1.813
O 2.564 0.000 1.813
O 5.070 0.000 3.585
O 2.535 4.391 -3.585
O 3.719 2.501 2.294
O 4.123 2.140 4.992
O 4.637 4.640 -1.861
O -2.535 4.391 3.585
O -1.077 2.414 4.922
O 2.264 4.471 -0.476
Ac -2.615 4.530 -1.849
Ac 1.202 2.081 0.850
Ac 0.000 0.000 5.548
Ac 5.230 0.000 -1.849
```

The calculation puts the total energy at -9.2844 eV per atom. For the total magnetization, the calculation gives 1.4 μB per cell. The mass density comes out at 9.34 Mg/m³. The density of states at the Fermi level is 8.292 states/eV/f.u. For the formation energy without anion corrections, the calculation gives -3.017 eV/atom.

Record 5
AcTaO4 | PBE-GGA | relaxed

Geometry as extended XYZ:
```
12
Lattice="5.364 0.000 0.000 0.000 5.805 0.467 0.000 -1.858 5.637" Properties=species:S:1:pos:R:3 pbc="T T T"
Ta 2.682 2.903 0.233
Ta 0.000 0.000 0.000
Ac 0.000 1.974 3.052
Ac 2.682 -0.929 2.819
O 4.065 2.518 5.407
O 3.346 2.851 2.066
O 1.300 1.429 0.698
O 4.700 -0.052 1.833
O 1.382 4.332 0.931
O 2.018 1.096 4.038
O 3.982 -0.385 5.173
O 0.664 3.999 4.272
```

The calculation puts the total energy at -9.0811 eV per atom. The calculation puts the energy relative to the lowest polymorph listed for this composition at 2.74 kcal/mol of atoms. For the total magnetization, the calculation gives 0.0 μB per cell. The mass density comes out at 8.70 Mg/m³. The density of states at the Fermi level is 0.000 states/eV/f.u. For the formation energy without anion corrections, the calculation gives -3.115 eV/atom.

Record 6
Ac6TaO12 | PBE-GGA | relaxed

Geometry as extended XYZ:
```
19
Lattice="7.060 0.018 0.022 -1.052 6.981 0.022 -1.052 -1.226 6.872" Properties=species:S:1:pos:R:3 pbc="T T T"
Ac 4.916 1.909 4.893
Ac 3.676 5.538 2.753
Ac 0.038 3.863 2.022
Ac 3.813 1.878 0.975
Ac 1.142 3.894 5.940
Ac 1.279 0.235 4.162
O 6.451 1.922 0.470
O 0.921 -0.729 6.645
O 2.614 1.836 5.678
O 1.418 5.075 3.830
O 2.341 3.937 1.238
O 5.815 -0.622 4.941
O 4.801 3.380 2.821
O -1.497 3.851 6.445
O -0.860 6.395 1.975
O 3.536 0.698 3.085
O 0.153 2.392 4.095
O 4.033 6.502 0.271
Ta 0.000 0.000 0.000
```

The calculation puts the total energy at -8.2643 eV per atom. For the total magnetization, the calculation gives 1.2 μB per cell. The mass density comes out at 8.49 Mg/m³. The density of states at the Fermi level is 18.365 states/eV/f.u. For the formation energy without anion corrections, the calculation gives -3.212 eV/atom.

Record 7
Ac2Ta3O10 | PBE-GGA | relaxed

Geometry as extended XYZ:
```
30
Lattice="5.643 0.000 -1.837 -0.936 7.269 -2.877 0.070 0.079 9.802" Properties=species:S:1:pos:R:3 pbc="T T T"
O 4.812 5.916 5.197
O 1.084 2.108 3.330
O 2.052 5.893 6.305
O 4.726 1.891 4.934
O -0.035 1.432 -0.109
O 0.805 3.635 -1.853
O 2.992 3.808 4.259
O 1.785 3.539 0.830
O 0.035 0.039 4.901
O -0.030 7.087 4.577
O 2.059 0.261 1.405
O 2.725 1.455 -1.216
O 4.806 0.261 0.511
O 4.688 3.539 -0.115
O 0.088 3.808 5.204
O 2.718 7.087 3.683
O 3.693 5.240 1.758
O 2.856 0.039 3.983
O 3.902 3.635 -2.861
O 0.050 5.457 0.154
Ta 1.499 0.000 -0.488
Ta 0.028 3.393 0.085
Ta 4.144 0.000 -1.349
Ta 3.741 7.129 1.908
Ta 4.749 3.955 5.004
Ta 1.035 0.219 3.180
Ac 3.732 2.417 1.879
Ac 2.770 5.222 -1.077
Ac 1.045 4.931 3.210
Ac 2.007 2.126 6.166
```

The calculation puts the total energy at -9.2862 eV per atom. For the total magnetization, the calculation gives 0.0 μB per cell. The mass density comes out at 9.50 Mg/m³. The density of states at the Fermi level is 0.502 states/eV/f.u. For the formation energy without anion corrections, the calculation gives -3.062 eV/atom.

Record 8
AcTb2TaO8 | PBE-GGA | relaxed

Geometry as extended XYZ:
```
12
Lattice="-3.906 -2.152 -2.464 1.815 -4.608 1.218 -3.900 0.078 6.110" Properties=species:S:1:pos:R:3 pbc="T T T"
O -5.398 -4.782 5.216
O -3.630 -2.597 -0.531
O -2.361 -4.084 5.395
O -0.593 -1.900 -0.351
O -3.354 -4.514 2.219
O -5.943 -2.554 3.090
O -0.049 -4.128 1.775
O -2.637 -2.168 2.645
Tb -1.965 -3.363 0.816
Tb -4.027 -3.319 4.048
Ta 0.000 0.000 0.000
Ac -1.950 0.039 3.055
```

The calculation puts the total energy at -8.2935 eV per atom. For the total magnetization, the calculation gives 1.5 μB per cell. The mass density comes out at 7.53 Mg/m³. The density of states at the Fermi level is 7.874 states/eV/f.u. For the formation energy without anion corrections, the calculation gives -2.886 eV/atom.

Record 9
AcTbTa2O8 | PBE-GGA | relaxed

Geometry as extended XYZ:
```
12
Lattice="-4.672 -2.677 -0.549 1.589 -1.775 -4.861 3.927 -2.447 5.192" Properties=species:S:1:pos:R:3 pbc="T T T"
Ta 1.987 -3.224 -1.187
Ta -1.542 -2.226 -2.705
O 3.819 -3.667 -1.331
O 3.409 -3.560 1.359
O 1.016 -4.467 -0.146
O -1.579 -3.899 -3.575
O 1.251 -3.225 -2.928
O 1.863 -1.538 -0.343
O -0.717 -2.096 -1.013
O 0.575 -4.244 2.793
Ac -1.143 -3.675 0.969
Tb 0.000 0.000 0.000
```

The calculation puts the total energy at -9.2256 eV per atom. For the total magnetization, the calculation gives 0.0 μB per cell. The mass density comes out at 8.55 Mg/m³. The density of states at the Fermi level is 0.000 states/eV/f.u. For the formation energy without anion corrections, the calculation gives -3.216 eV/atom.

Record 10
Ac2TbTaO8 | PBE-GGA | relaxed

Geometry as extended XYZ:
```
12
Lattice="-4.235 1.353 0.037 -1.396 -5.450 0.238 0.151 0.276 7.222" Properties=species:S:1:pos:R:3 pbc="T T T"
O -3.353 -3.237 3.812
O -4.279 0.247 5.816
O -1.113 -3.907 5.908
O -2.032 -0.060 0.045
O -4.367 0.085 1.588
O -1.201 -4.068 1.681
O -3.448 -3.761 7.452
O -2.127 -0.584 3.685
Ac -2.702 -1.841 5.576
Ac -2.778 -1.981 1.921
Tb 0.075 0.138 3.611
Ta 0.000 0.000 0.000
```

The calculation puts the total energy at -8.2166 eV per atom. For the total magnetization, the calculation gives 0.0 μB per cell. The mass density comes out at 8.47 Mg/m³. The density of states at the Fermi level is 0.000 states/eV/f.u. For the formation energy without anion corrections, the calculation gives -2.853 eV/atom.

Record 11
Ac2TaTi3O12 | PBE-GGA | relaxed

Geometry as extended XYZ:
```
18
Lattice="7.214 0.175 0.124 3.715 6.186 0.124 3.715 2.162 5.797" Properties=species:S:1:pos:R:3 pbc="T T T"
Ac 8.797 5.120 3.632
Ac 5.847 3.404 2.414
O 11.318 6.588 2.174
O 11.318 4.230 5.499
O 9.267 7.753 5.499
O 5.618 5.536 3.927
O 3.326 4.294 0.547
O 7.589 2.151 3.927
O 7.055 6.373 2.119
O 3.326 1.936 3.872
O 9.026 2.988 2.119
O 7.589 4.417 0.732
O 7.055 4.107 5.314
O 5.377 0.771 0.547
Ti 3.607 0.088 0.062
Ti 1.858 3.093 0.062
Ti 1.858 1.081 2.899
Ta 0.000 0.000 0.000
```

The calculation puts the total energy at -8.4617 eV per atom. For the total magnetization, the calculation gives 0.4 μB per cell. The mass density comes out at 6.42 Mg/m³. The density of states at the Fermi level is 9.866 states/eV/f.u. For the formation energy without anion corrections, the calculation gives -2.725 eV/atom.

Record 12
AcTaTiO6 | PBE-GGA | relaxed

Geometry as extended XYZ:
```
18
Lattice="-0.047 4.992 -0.285 -2.241 0.233 4.464 8.851 0.336 4.425" Properties=species:S:1:pos:R:3 pbc="T T T"
O 1.997 1.551 2.476
O 1.237 4.005 1.653
O 4.545 4.006 6.114
O 5.305 1.560 6.937
O 0.980 3.875 4.335
O 2.530 1.184 5.887
O 5.559 1.691 4.262
O 0.016 1.355 4.297
O 8.068 2.089 5.819
O 6.523 4.202 4.300
O 7.315 3.809 7.195
O 4.002 4.377 2.702
Ti 2.972 0.113 1.486
Ti 6.253 2.894 5.788
Ac 0.039 0.001 0.020
Ac 3.321 2.782 4.322
Ta 5.916 0.225 2.958
Ta 0.346 2.669 2.835
```

The calculation puts the total energy at -8.9401 eV per atom. For the total magnetization, the calculation gives 0.0 μB per cell. The mass density comes out at 7.40 Mg/m³. The density of states at the Fermi level is 0.000 states/eV/f.u. For the formation energy without anion corrections, the calculation gives -2.984 eV/atom.

Record 13
AcTaTl2O6 | PBE-GGA | relaxed

Geometry as extended XYZ:
```
20
Lattice="5.949 0.000 -0.024 0.000 6.180 0.000 0.017 0.000 8.684" Properties=species:S:1:pos:R:3 pbc="T T T"
Ac 0.009 3.090 4.342
Ac 2.975 0.000 -0.012
Ta 0.000 3.090 0.000
Ta 2.983 0.000 4.330
O 3.629 0.353 2.426
O 1.300 1.012 3.922
O 2.337 5.827 6.234
O 4.666 5.168 4.738
O 0.921 1.386 0.581
O 1.683 4.103 0.408
O 5.045 4.794 8.079
O 3.904 1.704 4.911
O 4.283 2.078 8.252
O 5.303 3.443 1.880
O 0.663 2.737 6.780
O 2.062 4.476 3.749
Tl 0.034 5.989 2.226
Tl 2.949 2.899 2.104
Tl 3.017 3.282 6.556
Tl 5.932 0.192 6.434
```

The calculation puts the total energy at -7.0553 eV per atom. For the total magnetization, the calculation gives 0.0 μB per cell. The mass density comes out at 9.49 Mg/m³. The density of states at the Fermi level is 3.453 states/eV/f.u. For the formation energy without anion corrections, the calculation gives -2.011 eV/atom.

Record 14
AcTaTlO6 | PBE-GGA | relaxed

Geometry as extended XYZ:
```
18
Lattice="-2.465 -4.703 1.866 4.272 -0.320 -3.651 6.871 -0.398 8.075" Properties=species:S:1:pos:R:3 pbc="T T T"
O 6.451 -2.254 6.377
O 2.521 -0.337 -0.197
O 5.164 -0.510 0.586
O 5.436 -3.513 4.137
O 6.157 -5.084 6.487
O 3.514 -4.911 5.704
O 3.604 -2.067 5.767
O 4.442 -3.413 8.028
O 2.227 -3.167 -0.086
O 4.236 -2.008 -1.738
O 3.242 -1.908 2.153
O 5.074 -3.354 0.523
Ta 4.934 -3.540 6.084
Ta 3.744 -1.881 0.207
Ac 3.436 -0.199 4.038
Ac 0.000 0.000 0.000
Tl 1.498 -3.342 2.046
Tl 7.180 -2.079 4.244
```

The calculation puts the total energy at -7.4968 eV per atom. For the total magnetization, the calculation gives 2.2 μB per cell. The mass density comes out at 8.08 Mg/m³. The density of states at the Fermi level is 5.715 states/eV/f.u. For the formation energy without anion corrections, the calculation gives -2.155 eV/atom.

Record 15
AcTaTlO5 | PBE-GGA | relaxed

Geometry as extended XYZ:
```
16
Lattice="6.430 0.204 -0.037 -1.682 6.209 -0.037 -2.030 -2.742 8.292" Properties=species:S:1:pos:R:3 pbc="T T T"
Ac -1.015 -1.371 4.146
Ac 0.000 0.000 0.000
O 3.454 -0.177 2.895
O 4.910 1.791 1.177
O 4.028 -1.201 6.182
O 1.876 1.461 0.792
O 0.842 2.210 7.426
O -2.192 1.881 7.041
O 2.883 2.822 3.280
O -1.310 4.873 2.036
O -0.165 0.850 4.938
O -0.736 3.848 5.323
Tl 2.253 0.112 6.182
Tl 0.465 3.559 2.036
Ta -0.560 2.195 6.182
Ta 3.278 1.476 2.036
```

The calculation puts the total energy at -7.7543 eV per atom. For the total magnetization, the calculation gives 2.0 μB per cell. The mass density comes out at 6.91 Mg/m³. The density of states at the Fermi level is 1.711 states/eV/f.u. For the formation energy without anion corrections, the calculation gives -2.364 eV/atom.

Record 16
AcTa2TlO7 | PBE-GGA | relaxed

Geometry as extended XYZ:
```
11
Lattice="-1.739 2.636 2.330 -3.158 -2.316 0.263 4.531 -5.138 9.195" Properties=species:S:1:pos:R:3 pbc="T T T"
O 2.891 -2.946 8.797
O 2.182 -5.422 7.763
O -0.800 -1.709 4.643
O -2.449 0.160 1.296
O -0.099 0.445 2.728
O 0.433 -3.108 7.145
O -0.809 -2.031 1.694
Tl 2.266 -2.569 4.597
Ta -1.512 -0.902 3.197
Ta 1.146 -3.915 8.591
Ac 0.000 0.000 0.000
```

The calculation puts the total energy at -8.6650 eV per atom. For the total magnetization, the calculation gives 0.0 μB per cell. The mass density comes out at 8.51 Mg/m³. The density of states at the Fermi level is 0.000 states/eV/f.u. For the formation energy without anion corrections, the calculation gives -2.766 eV/atom.

Record 17
Ac2TaTlO6 | PBE-GGA | relaxed

Geometry as extended XYZ:
```
10
Lattice="5.840 0.000 0.000 0.000 5.768 0.000 0.000 0.000 5.768" Properties=species:S:1:pos:R:3 pbc="T T T"
Tl 2.948 2.884 2.884
O 4.361 4.494 1.274
O 4.361 4.494 4.494
O 0.485 2.884 2.884
O 4.361 1.274 4.494
O 1.697 0.000 0.000
O 4.361 1.274 1.274
Ac 5.740 2.884 0.000
Ac 5.740 0.000 2.884
Ta 3.596 0.000 0.000
```

The calculation puts the total energy at -7.8396 eV per atom. For the total magnetization, the calculation gives 0.0 μB per cell. The mass density comes out at 7.99 Mg/m³. For the formation energy without anion corrections, the calculation gives -2.621 eV/atom.